Computed, not measured: a geometry-optimized SrReP2Ru structure at the PBE-GGA level of DFT.

abc: 4.1175 4.1175 11.0825
angles: 90.00 90.00 90.00
Last column: nearest neighbours and their distance in Å.
Space group I-4m2 (No. 119)
Symmetry-distinct sites (fractional):
Sr1 0.0000 0.0000 0.0000 (multiplicity 2)  8 P 3.34, 4 Re 3.45, 4 Ru 3.45
Re1 0.0000 0.5000 0.2500 (multiplicity 2)  4 P 2.35
P1 0.0000 0.0000 0.3522 (multiplicity 4)  2 Re 2.35, 2 Ru 2.35
Ru1 0.0000 0.5000 0.7500 (multiplicity 2)  4 P 2.35

Raw total energy in eV per atom: -7.5478
Volume in Å³/atom: 18.789
Total moment in μB per formula unit: 0.00
DFT formation energy in eV/atom: -0.70

***

Computed, not measured: a geometry-optimized TiReP2Ru structure at the PBE-GGA level of DFT.

abc: 4.4477 4.4477 4.6126
angles: 90.00 90.00 90.00
Last column: nearest neighbours and their distance in Å.
Space group P4/mmm (No. 123)
Symmetry-distinct sites (fractional):
Ti1 0.0000 0.0000 0.0000 (multiplicity 1)  2 Ru 2.31
Re1 0.5000 0.5000 0.0000 (multiplicity 1)  4 Ti 3.14, 8 P 3.20
P1 0.0000 0.5000 0.5000 (multiplicity 2)  2 Ru 2.22
Ru1 0.0000 0.0000 0.5000 (multiplicity 1)  4 P 2.22, 2 Ti 2.31

Raw total energy in eV per atom: -7.0208
Volume in Å³/atom: 18.249
Total moment in μB per formula unit: 0.99
DFT formation energy in eV/atom: 1.07

***

Computed, not measured: a geometry-optimized TlReP2Ru structure at the PBE-GGA level of DFT.

abc: 4.5124 4.5124 5.4458
angles: 90.00 90.00 90.00
Last column: nearest neighbours and their distance in Å.
Space group P4/mmm (No. 123)
Symmetry-distinct sites (fractional):
Tl1 0.0000 0.0000 0.0000 (multiplicity 1)  2 Re 2.72
Re1 0.0000 0.0000 0.5000 (multiplicity 1)  4 P 2.26
P1 0.0000 0.5000 0.5000 (multiplicity 2)  2 Re 2.26
Ru1 0.5000 0.5000 0.0000 (multiplicity 1)  4 Tl 3.19, 8 P 3.54

Raw total energy in eV per atom: -5.8324
Volume in Å³/atom: 22.177
Total moment in μB per formula unit: 1.95
DFT formation energy in eV/atom: 1.15

***

Computed, not measured: a geometry-optimized URe2P2Ru structure at the PBE-GGA level of DFT.

abc: 3.9639 7.0061 6.7147
angles: 90.00 90.00 90.00
Last column: nearest neighbours and their distance in Å.
Space group Pmc2_1 (No. 26)
Symmetry-distinct sites (fractional):
U1 0.0000 0.1030 0.0000 (multiplicity 2)  5 P 2.77-2.92, 4 Re 2.97-3.08, 2 Ru 2.97
Re1 0.0000 0.3208 0.3805 (multiplicity 2)  4 P 2.28-2.40
Re2 0.5000 0.4090 0.0770 (multiplicity 2)  3 P 2.43-2.60
P1 0.0000 0.3926 0.7187 (multiplicity 2)  2 Re 2.28-2.33, 2 Ru 2.42
P2 0.5000 0.1406 0.3064 (multiplicity 2)  3 Re 2.40-2.43, 2 Ru 2.50-2.57
Ru1 0.5000 0.1960 0.6849 (multiplicity 2)  4 P 2.42-2.57

Raw total energy in eV per atom: -9.7379
Volume in Å³/atom: 15.540
Total moment in μB per formula unit: 0.22
DFT formation energy in eV/atom: -0.36

***

Computed, not measured: a geometry-optimized YRePRu2 structure at the PBE-GGA level of DFT.

abc: 4.6734 4.6734 4.8657
angles: 90.00 90.00 90.00
Last column: nearest neighbours and their distance in Å.
Space group P4/mmm (No. 123)
Symmetry-distinct sites (fractional):
Y1 0.0000 0.0000 0.0000 (multiplicity 1)  4 Ru 2.34, 2 P 2.43
Re1 0.5000 0.5000 0.5000 (multiplicity 1)  4 P 3.30, 8 Ru 3.37
P1 0.0000 0.0000 0.5000 (multiplicity 1)  2 Y 2.43
Ru1 0.0000 0.5000 0.0000 (multiplicity 2)  2 Y 2.34

Raw total energy in eV per atom: -6.0856
Volume in Å³/atom: 21.255
Total moment in μB per formula unit: 0.00
DFT formation energy in eV/atom: 2.49

***

Computed, not measured: a geometry-optimized ReP2S2 structure at the PBE-GGA level of DFT.

abc: 6.1773 6.1773 4.3082
angles: 90.00 90.00 90.00
Last column: nearest neighbours and their distance in Å.
Space group P4/mbm (No. 127)
Symmetry-distinct sites (fractional):
Re1 0.0000 0.0000 0.0000 (multiplicity 2)  4 P 2.42
P1 0.1314 0.3686 0.0000 (multiplicity 4)  2 S 2.28, 1 P 2.30, 2 Re 2.42
S1 0.2154 0.2846 0.5000 (multiplicity 4)  2 P 2.28

Raw total energy in eV per atom: -5.7739
Volume in Å³/atom: 16.440
E above lowest polymorph in eV/atom: 0.139
Uncorrected formation energy in eV per atom: 0.531
Total moment in μB per formula unit: 0.00

***

Computed, not measured: a geometry-optimized ReP2S structure at the PBE-GGA level of DFT.

abc: 5.5127 5.5127 10.3269
angles: 90.00 90.00 90.00
Last column: nearest neighbours and their distance in Å.
Space group I-42d (No. 122)
Symmetry-distinct sites (fractional):
Re1 0.0000 0.0000 0.0000 (multiplicity 4)  4 P 2.26
P1 0.2243 0.2500 0.1250 (multiplicity 8)  2 Re 2.26, 2 S 2.42
S1 0.0000 0.0000 0.5000 (multiplicity 4)  4 P 2.42

Raw total energy in eV per atom: -6.4924
Volume in Å³/atom: 19.614
Uncorrected formation energy in eV per atom: 0.356
Total moment in μB per formula unit: 0.00

***

Computed, not measured: a geometry-optimized RePS2 structure at the PBE-GGA level of DFT.

abc: 5.9206 5.9206 8.7870
angles: 90.00 90.00 90.00
Last column: nearest neighbours and their distance in Å.
Space group I-42d (No. 122)
Symmetry-distinct sites (fractional):
Re1 0.0000 0.0000 0.0000 (multiplicity 4)  4 S 2.26
P1 0.0000 0.0000 0.5000 (multiplicity 4)  4 S 2.48
S1 0.2202 0.2500 0.1250 (multiplicity 8)  2 Re 2.26, 2 P 2.48

Raw total energy in eV per atom: -6.0028
Volume in Å³/atom: 19.251
Uncorrected formation energy in eV per atom: 0.525
Total moment in μB per formula unit: 0.00

***

Computed, not measured: a geometry-optimized ReP3S structure at the PBE-GGA level of DFT.

abc: 4.6005 4.6005 4.6005
angles: 90.00 90.00 90.00
Last column: nearest neighbours and their distance in Å.
Space group Pm-3m (No. 221)
Symmetry-distinct sites (fractional):
Re1 0.0000 0.0000 0.0000 (multiplicity 1)  6 P 2.30
P1 0.0000 0.0000 0.5000 (multiplicity 3)  2 Re 2.30
S1 0.5000 0.5000 0.5000 (multiplicity 1)  12 P 3.25

Raw total energy in eV per atom: -5.8752
Volume in Å³/atom: 19.473
E above lowest polymorph in eV/atom: 0.000
Uncorrected formation energy in eV per atom: 0.686
Total moment in μB per formula unit: 0.00

***

Computed, not measured: a geometry-optimized RePS2 structure at the PBE-GGA level of DFT.

abc: 3.1330 3.1330 24.4516
angles: 90.00 90.00 120.00
Last column: nearest neighbours and their distance in Å.
Space group R-3m (No. 166, hexagonal axes)
Symmetry-distinct sites (fractional):
Re1 0.0000 0.0000 0.0000 (multiplicity 3)  6 S 2.42
P1 0.0000 0.0000 0.5000 (multiplicity 3)  2 S 2.47
S1 0.0000 0.0000 0.3990 (multiplicity 6)  3 Re 2.42, 1 P 2.47

Raw total energy in eV per atom: -6.2764
Volume in Å³/atom: 17.321
Uncorrected formation energy in eV per atom: 0.252
Total moment in μB per formula unit: 0.00

***

Computed, not measured: a geometry-optimized RePS2 structure at the PBE-GGA level of DFT.

abc: 3.1723 3.1723 22.1850
angles: 90.00 90.00 120.00
Last column: nearest neighbours and their distance in Å.
Space group R-3m (No. 166, hexagonal axes)
Symmetry-distinct sites (fractional):
Re1 0.0000 0.0000 0.0000 (multiplicity 3)  2 S 2.23
P1 0.0000 0.0000 0.5000 (multiplicity 3)  6 S 2.35
S1 0.0000 0.0000 0.1005 (multiplicity 6)  1 Re 2.23, 3 P 2.35

Raw total energy in eV per atom: -5.9312
Volume in Å³/atom: 16.112
Uncorrected formation energy in eV per atom: 0.597
Total moment in μB per formula unit: 0.00

***

Computed, not measured: a geometry-optimized ReP2S2 structure at the PBE-GGA level of DFT.

abc: 3.1746 3.1746 19.1628
angles: 90.00 90.00 90.00
Last column: nearest neighbours and their distance in Å.
Space group I4/mmm (No. 139)
Symmetry-distinct sites (fractional):
Re1 0.0000 0.0000 0.0000 (multiplicity 2)  8 P 2.58
P1 0.0000 0.0000 0.4339 (multiplicity 4)  1 P 2.53, 4 Re 2.58
S1 0.0000 0.5000 0.2500 (multiplicity 4)  4 S 2.24

Raw total energy in eV per atom: -5.9131
Volume in Å³/atom: 19.312
E above lowest polymorph in eV/atom: 0.000
Uncorrected formation energy in eV per atom: 0.391
Total moment in μB per formula unit: 0.00

***

Computed, not measured: a geometry-optimized ReP2S2 structure at the PBE-GGA level of DFT.

abc: 4.7170 4.7170 4.4000
angles: 90.00 90.00 90.00
Last column: nearest neighbours and their distance in Å.
Space group P4/mmm (No. 123)
Symmetry-distinct sites (fractional):
Re1 0.0000 0.0000 0.0000 (multiplicity 1)  2 S 2.20, 4 P 2.36
P1 0.0000 0.5000 0.0000 (multiplicity 2)  2 Re 2.36
S1 0.0000 0.0000 0.5000 (multiplicity 1)  2 Re 2.20
S2 0.5000 0.5000 0.5000 (multiplicity 1)  8 P 3.23, 4 S 3.34

Raw total energy in eV per atom: -5.6306
Volume in Å³/atom: 19.580
E above lowest polymorph in eV/atom: 0.283
Uncorrected formation energy in eV per atom: 0.674
Total moment in μB per formula unit: 0.00

***

Computed, not measured: a geometry-optimized ReP3S structure at the PBE-GGA level of DFT.

abc: 4.2627 4.2627 4.2627
angles: 90.00 90.00 90.00
Last column: nearest neighbours and their distance in Å.
Space group Pm-3m (No. 221)
Symmetry-distinct sites (fractional):
Re1 0.0000 0.0000 0.0000 (multiplicity 1)  12 P 3.01
P1 0.0000 0.5000 0.5000 (multiplicity 3)  2 S 2.13
S1 0.5000 0.5000 0.5000 (multiplicity 1)  6 P 2.13

Raw total energy in eV per atom: -5.2155
Volume in Å³/atom: 15.491
E above lowest polymorph in eV/atom: 0.660
Uncorrected formation energy in eV per atom: 1.346
Total moment in μB per formula unit: 0.69